1.
This record from Alexandria describes a relaxed structure of IrPt2Br. The functional is GGA-PBE.

Values from the calculation:
**Energy relative to the elements, uncorrected**: 0.741 eV/atom
**M_tot**: 0.0 μB per cell
**Energy above the lowest structure with this stoichiometry**: 0.365 eV/atom
**Uncorrected energy**: -39.3 eV per cell

```
IrPt2Br
1.0
-3.643 3.643 2.703
3.643 -3.643 2.703
3.643 3.643 -2.703
Ir Pt Br
2 4 2
Direct
0.000 0.000 0.000
0.750 0.250 0.500
0.115 0.625 0.990
0.375 0.365 0.490
0.635 0.125 0.010
0.875 0.885 0.510
0.250 0.750 0.500
0.500 0.500 0.000
```

***

2.
This record from Alexandria describes a relaxed structure of Na3U3ReN8. The functional is GGA-PBE.

Values from the calculation:
**Energy relative to the elements, uncorrected**: -0.763 eV/atom
**M_tot**: 1.8 μB per cell
**Uncorrected energy**: -128.3 eV per cell

```
Na3U3ReN8
1.0
3.366 1.943 5.712
-3.366 1.943 5.712
0.000 -3.887 5.712
Na U Re N
3 3 1 8
Direct
0.000 0.500 0.500
0.500 0.000 0.500
0.500 0.500 0.000
0.000 0.000 0.500
0.000 0.500 0.000
0.500 0.000 0.000
0.500 0.500 0.500
0.230 0.230 0.230
0.235 0.721 0.721
0.279 0.279 0.765
0.279 0.765 0.279
0.721 0.235 0.721
0.721 0.721 0.235
0.765 0.279 0.279
0.770 0.770 0.770
```

***

3.
This record from Alexandria describes a relaxed structure of SbRu2. The functional is GGA-PBE.

Values from the calculation:
**Energy relative to the elements, uncorrected**: 0.451 eV/atom
**M_tot**: 0.0 μB per cell
**Uncorrected energy**: -42.6 eV per cell

```
SbRu2
1.0
-1.500 1.872 9.357
1.500 -1.872 9.357
1.500 1.872 -9.357
Sb Ru
2 4
Direct
0.376 0.126 0.250
0.624 0.874 0.750
0.057 0.307 0.750
0.207 0.457 0.750
0.793 0.543 0.250
0.943 0.693 0.250
```